Record 1
! Ho3Sc8 | Alexandria via LeMat-Bulk | PBE-GGA | relaxed; values from VASP
&SYSTEM
  ibrav = 0, nat = 11, ntyp = 2
/
ATOMIC_SPECIES
Ho 164.93 Ho.upf
Sc 44.96 Sc.upf
CELL_PARAMETERS angstrom
8.049 -0.883 -0.128
-3.753 6.907 -2.298
0.824 -0.636 5.858
ATOMIC_POSITIONS angstrom
Ho 4.436 -0.760 2.865
Ho -1.465 3.135 1.780
Ho 2.148 3.012 -1.213
Sc 3.538 4.079 1.565
Sc 7.652 0.420 4.162
Sc 3.090 6.064 -1.416
Sc 1.581 1.309 1.867
Sc 0.929 4.331 3.357
Sc 2.030 -0.676 4.848
Sc -2.533 4.968 -0.730
Sc 4.191 1.057 0.075
! Density of states at the Fermi level, states/eV per atom: 1.7290
! Relative energy among the computed polymorphs, meV/atom: 0
! Final energy, eV per atom: -5.695
! Density, kg/m3: 4784



Record 2
! HoSc2 | Alexandria via LeMat-Bulk | PBE-GGA | relaxed; values from VASP
&SYSTEM
  ibrav = 0, nat = 6, ntyp = 2
/
ATOMIC_SPECIES
Sc 44.96 Sc.upf
Ho 164.93 Ho.upf
CELL_PARAMETERS angstrom
6.244 0.000 0.000
3.122 5.407 0.000
3.122 1.802 5.098
ATOMIC_POSITIONS angstrom
Sc 7.805 4.506 3.186
Sc 6.244 1.802 3.186
Sc 4.683 4.506 3.186
Sc 6.244 3.605 0.637
Ho 3.122 1.802 1.275
Ho 0.000 0.000 0.000
! Density of states at the Fermi level, states/eV per atom: 2.2482
! Relative energy among the computed polymorphs, meV/atom: 206
! Final energy, eV per atom: -5.520
! Density, kg/m3: 4917



Record 3
! Ho5Sc | Alexandria via LeMat-Bulk | PBE-GGA | relaxed; values from VASP
&SYSTEM
  ibrav = 0, nat = 6, ntyp = 2
/
ATOMIC_SPECIES
Ho 164.93 Ho.upf
Sc 44.96 Sc.upf
CELL_PARAMETERS angstrom
-3.288 -2.614 2.577
0.258 -3.612 -3.335
5.348 -1.324 5.481
ATOMIC_POSITIONS angstrom
Ho 2.154 -5.209 2.175
Ho -1.515 -3.113 -0.379
Ho 0.165 -2.341 2.547
Ho 1.927 -2.833 -0.416
Ho 3.679 -2.102 2.561
Sc 0.000 0.000 0.000
! Density of states at the Fermi level, states/eV per atom: 1.3915
! Final energy, eV per atom: -4.836
! Density, kg/m3: 8076



Record 4
! Ho2Sc7 | Alexandria via LeMat-Bulk | PBE-GGA | relaxed; values from VASP
&SYSTEM
  ibrav = 0, nat = 9, ntyp = 2
/
ATOMIC_SPECIES
Sc 44.96 Sc.upf
Ho 164.93 Ho.upf
CELL_PARAMETERS angstrom
3.321 0.000 0.000
0.000 9.001 0.000
0.000 -4.501 7.795
ATOMIC_POSITIONS angstrom
Sc 1.660 1.602 2.775
Sc 0.000 2.714 0.000
Sc 0.000 3.143 5.444
Sc 1.660 0.000 0.000
Sc 1.660 -2.898 5.020
Sc 0.000 -1.357 2.351
Sc 1.660 5.797 0.000
Ho 0.000 4.501 2.598
Ho 0.000 0.000 5.197
! Density of states at the Fermi level, states/eV per atom: 1.7162
! Final energy, eV per atom: -5.889
! Density, kg/m3: 4594



| no. | ΔE_f (eV/atom) |
| --- | --- |
| 1 | 0.16 |
| 2 | 0.23 |
| 3 | 0.03 |
| 4 | 0.05 |